1.
! SrSnH2 PBE-GGA relaxed; values from VASP
&SYSTEM
  ibrav = 0, nat = 4, ntyp = 3
/
ATOMIC_SPECIES
Sr 87.62 Sr.upf
Sn 118.71 Sn.upf
H 1.01 H.upf
ATOMIC_POSITIONS crystal
Sr 0.000 0.000 0.000
Sn 0.500 0.500 0.500
H 0.250 0.250 0.250
H 0.750 0.750 0.750
CELL_PARAMETERS angstrom
0.000 3.242 3.242
3.242 0.000 3.242
3.242 3.242 0.000
! energy relative to the lowest polymorph listed for this composition	105	meV per atom
! N(E_F)	0.3411	states/eV per atom
! volume	68	Å³ per cell
! SG	Fm-3m (225)

=====

2.
! LaAg2Os PBE-GGA relaxed; values from VASP
&SYSTEM
  ibrav = 0, nat = 4, ntyp = 3
/
ATOMIC_SPECIES
La 138.91 La.upf
Ag 107.87 Ag.upf
Os 190.23 Os.upf
ATOMIC_POSITIONS crystal
La 0.000 0.000 0.000
Ag 0.500 0.500 0.500
Ag 0.750 0.750 0.750
Os 0.250 0.250 0.250
CELL_PARAMETERS angstrom
0.000 3.465 3.465
3.465 0.000 3.465
3.465 3.465 0.000
! energy relative to the lowest polymorph listed for this composition	201	meV per atom
! N(E_F)	1.0699	states/eV per atom
! volume	83	Å³ per cell
! SG	F-43m (216)
! energy of formation	0.414	eV per atom

=====

3.
! MgTaZnNi PBE-GGA relaxed; values from VASP
&SYSTEM
  ibrav = 0, nat = 4, ntyp = 4
/
ATOMIC_SPECIES
Mg 24.30 Mg.upf
Ta 180.95 Ta.upf
Zn 65.41 Zn.upf
Ni 58.69 Ni.upf
ATOMIC_POSITIONS crystal
Mg 0.000 0.000 0.000
Ta 0.500 0.500 0.500
Zn 0.250 0.250 0.250
Ni 0.750 0.750 0.750
CELL_PARAMETERS angstrom
0.000 3.118 3.118
3.118 0.000 3.118
3.118 3.118 0.000
! N(E_F)	0.7216	states/eV per atom
! volume	61	Å³ per cell
! SG	F-43m (216)
! energy of formation	-0.019	eV per atom

=====

4.
! KBaSc2 PBE-GGA relaxed; values from VASP
&SYSTEM
  ibrav = 0, nat = 4, ntyp = 3
/
ATOMIC_SPECIES
K 39.10 K.upf
Ba 137.33 Ba.upf
Sc 44.96 Sc.upf
ATOMIC_POSITIONS crystal
K 0.000 0.000 0.000
Ba 0.750 0.250 0.500
Sc 0.250 0.750 0.500
Sc 0.500 0.500 0.000
CELL_PARAMETERS angstrom
-2.985 2.985 4.241
2.985 -2.985 4.241
2.985 2.985 -4.241
! energy relative to the lowest polymorph listed for this composition	300	meV per atom
! N(E_F)	2.3066	states/eV per atom
! volume	151	Å³ per cell
! SG	I-4m2 (119)
! energy of formation	0.641	eV per atom

=====

5.
! Ni2TePb PBE-GGA relaxed; values from VASP
&SYSTEM
  ibrav = 0, nat = 4, ntyp = 3
/
ATOMIC_SPECIES
Ni 58.69 Ni.upf
Te 127.60 Te.upf
Pb 207.20 Pb.upf
ATOMIC_POSITIONS crystal
Ni 0.000 0.500 0.000
Ni 0.500 0.000 0.000
Te 0.000 0.000 0.500
Pb 0.500 0.500 0.500
CELL_PARAMETERS angstrom
3.279 -3.301 0.000
3.279 3.301 0.000
-0.039 0.000 3.415
! energy relative to the lowest polymorph listed for this composition	349	meV per atom
! N(E_F)	0.3664	states/eV per atom
! volume	74	Å³ per cell
! SG	C2/m (12)
! raw formation energy	0.2657	eV/atom

=====

6.
! LaNi2As PBE-GGA relaxed; values from VASP
&SYSTEM
  ibrav = 0, nat = 4, ntyp = 3
/
ATOMIC_SPECIES
La 138.91 La.upf
Ni 58.69 Ni.upf
As 74.92 As.upf
ATOMIC_POSITIONS crystal
La 0.000 0.000 0.000
Ni 0.482 0.482 0.000
Ni 0.679 0.179 0.500
As 0.319 0.819 0.500
CELL_PARAMETERS angstrom
-2.090 2.788 3.324
2.090 -2.788 3.324
2.090 2.788 -3.324
! N(E_F)	0.9157	states/eV per atom
! volume	78	Å³ per cell
! SG	Imm2 (44)
! energy of formation	-0.347	eV per atom